1.
{
  "formula": "FeHgP2",
  "functional": "PBE",
  "state": "relaxed",
  "space_group": "F-43m",
  "dos_at_fermi_per_ev_cell": 4.76,
  "dft_energy_ev_per_atom": -4.081,
  "e_form_ev_per_atom": 0.82,
  "volume_a3_per_atom": 16.6,
  "lattice": [[0.0000, 3.2165, 3.2165], [3.2165, 0.0000, 3.2165], [3.2165, 3.2165, 0.0000]],
  "species": ["Fe", "Hg", "P", "P"],
  "frac_coords": [[0.0000, 0.0000, 0.0000], [0.2500, 0.2500, 0.2500], [0.5000, 0.5000, 0.5000], [0.7500, 0.7500, 0.7500]]
}



2.
{
  "formula": "FeHgP2",
  "functional": "PBE",
  "state": "relaxed",
  "space_group": "C2/m",
  "dos_at_fermi_per_ev_cell": 2.42,
  "dft_energy_ev_per_atom": -4.943,
  "e_form_ev_per_atom": -0.05,
  "volume_a3_per_atom": 17.6,
  "lattice": [[3.3521, -1.4276, 0.0000], [3.3521, 1.4276, 0.0000], [-2.6232, 0.0000, 7.3763]],
  "species": ["Fe", "Hg", "P", "P"],
  "frac_coords": [[0.0000, 0.0000, 0.0000], [0.5000, 0.5000, 0.5000], [0.3557, 0.3557, 0.1503], [0.6443, 0.6443, 0.8497]]
}